A plane-wave DFT calculation with PBE+U was carried out for a geometry-optimized CoOsI2O structure.

Properties
* crystal system: tetragonal
* raw total energy: -4.4693 eV per atom
* E above lowest polymorph: 0.00 eV/f.u.
* density: 7.4 Mg/m³

Cell: 5.5616 5.5616 3.7444 Å, 90.00 90.00 90.00°
Site moments in Bohr magnetons follow the coordinates.
Element x y z (fractional)
I 0.0000 0.5000 0.0000  0.04
I 0.5000 0.0000 0.0000  0.04
Co 0.5000 0.5000 0.5000  2.45
Os 0.0000 0.0000 0.0000  0.07
O 0.0000 0.0000 0.5000  0.02